1.
A plane-wave DFT calculation with PBE-GGA was carried out for an optimized crystal structure of TaAs2Pt.

```
16
Lattice="6.530 0.000 0.000 0.000 6.530 0.000 0.000 0.000 6.530" Properties=species:S:1:pos:R:3 pbc="T T T"
Ta 0.000 0.000 0.000
Ta 0.000 3.265 3.265
Ta 3.265 0.000 3.265
Ta 3.265 3.265 0.000
As 0.000 0.000 3.265
As 0.000 3.265 0.000
As 1.633 1.633 1.633
As 1.633 4.898 4.898
As 3.265 0.000 0.000
As 3.265 3.265 3.265
As 4.898 1.633 4.898
As 4.898 4.898 1.633
Pt 1.633 1.633 4.898
Pt 1.633 4.898 1.633
Pt 4.898 1.633 1.633
Pt 4.898 4.898 4.898
```

Space-group type   F-43m
Formation energy   0.145 eV per atom
Spin magnetization   0.00 μB per formula unit
ΔE to the lowest computed polymorph   447 meV per atom
Final energy   -106.45 eV for the cell shown

2.
A plane-wave DFT calculation with PBE-GGA was carried out for an optimized crystal structure of Pr2DyRh9.

```
12
Lattice="2.650 1.530 8.918 -2.650 1.530 8.918 0.000 -3.060 8.918" Properties=species:S:1:pos:R:3 pbc="T T T"
Pr 0.000 0.000 3.706
Pr 0.000 0.000 23.046
Dy 0.000 0.000 0.000
Rh -1.321 -0.763 11.076
Rh 0.000 0.000 8.902
Rh 0.000 -1.525 15.677
Rh -1.321 0.763 15.677
Rh 0.000 0.000 13.376
Rh 1.321 -0.763 11.076
Rh 0.000 1.525 11.076
Rh 0.000 0.000 17.851
Rh 1.321 0.763 15.677
```

Space-group type   R-3m
Formation energy   -0.498 eV per atom
Spin magnetization   0.00 μB per formula unit
Final energy   -86.30 eV for the cell shown

3.
A plane-wave DFT calculation with PBE-GGA was carried out for an optimized crystal structure of PmYGaPt.

```
16
Lattice="7.187 0.000 0.000 0.000 7.187 0.000 0.000 0.000 7.187" Properties=species:S:1:pos:R:3 pbc="T T T"
Pm 0.000 0.000 0.000
Pm 0.000 3.593 3.593
Pm 3.593 0.000 3.593
Pm 3.593 3.593 0.000
Y 0.000 0.000 3.593
Y 0.000 3.593 0.000
Y 3.593 0.000 0.000
Y 3.593 3.593 3.593
Ga 1.797 1.797 1.797
Ga 1.797 5.390 5.390
Ga 5.390 1.797 5.390
Ga 5.390 5.390 1.797
Pt 1.797 1.797 5.390
Pt 1.797 5.390 1.797
Pt 5.390 1.797 1.797
Pt 5.390 5.390 5.390
```

Space-group type   F-43m
Formation energy   -0.812 eV per atom
Spin magnetization   0.00 μB per formula unit
ΔE to the lowest computed polymorph   88 meV per atom
Final energy   -94.13 eV for the cell shown

4.
A plane-wave DFT calculation with PBE-GGA was carried out for an optimized crystal structure of CaIF.

```
12
Lattice="14.291 0.000 0.000 0.000 3.989 0.000 -1.349 0.000 6.575" Properties=species:S:1:pos:R:3 pbc="T T T"
Ca 0.000 0.000 0.000
Ca -0.674 1.995 3.287
Ca 6.471 0.000 3.287
Ca 7.145 1.995 0.000
I 1.230 0.000 4.704
I 4.566 1.995 1.871
I 8.376 1.995 4.704
I 11.711 0.000 1.871
F 0.361 1.995 1.285
F 5.436 0.000 5.290
F 7.506 0.000 1.285
F 12.581 1.995 5.290
```

Space-group type   C2/m
E_form (uncorrected)   -2663 meV/atom
Spin magnetization   0.00 μB per formula unit
Final energy   -53.65 eV for the cell shown

5.
A plane-wave DFT calculation with PBE-GGA was carried out for an optimized crystal structure of SiTcP2Cl.

```
5
Lattice="4.545 0.000 0.000 0.000 4.545 0.000 0.000 0.000 5.059" Properties=species:S:1:pos:R:3 pbc="T T T"
Si 0.000 0.000 0.000
Tc 2.272 2.272 2.530
P 0.000 2.272 2.530
P 2.272 0.000 2.530
Cl 2.272 2.272 0.000
```

Space-group type   P4/mmm
E_form (uncorrected)   646 meV/atom
Spin magnetization   0.00 μB per formula unit
ΔE to the lowest computed polymorph   0 meV per atom
Final energy   -25.23 eV for the cell shown

6.
A plane-wave DFT calculation with PBE-GGA was carried out for an optimized crystal structure of NpTl2F7.

```
10
Lattice="0.000 4.810 4.810 4.810 0.000 4.810 4.810 4.810 0.000" Properties=species:S:1:pos:R:3 pbc="T T T"
Np 0.000 0.000 0.000
Tl 2.405 2.405 2.405
Tl 7.215 7.215 7.215
F 4.810 4.810 2.093
F 4.810 2.093 4.810
F 7.527 4.810 4.810
F 4.810 4.810 4.810
F 2.093 4.810 4.810
F 4.810 7.527 4.810
F 4.810 4.810 7.527
```

Space-group type   Fm-3m
E_form (uncorrected)   -2421 meV/atom
Spin magnetization   2.00 μB per formula unit
ΔE to the lowest computed polymorph   323 meV per atom
Final energy   -54.98 eV for the cell shown

7.
A plane-wave DFT calculation with PBE-GGA was carried out for an optimized crystal structure of KNa2ScF6.

```
10
Lattice="0.000 4.491 4.491 4.491 0.000 4.491 4.491 4.491 0.000" Properties=species:S:1:pos:R:3 pbc="T T T"
K 0.000 0.000 0.000
Na 2.245 2.245 2.245
Na 6.736 6.736 6.736
Sc 4.491 4.491 4.491
F 4.491 4.491 2.471
F 4.491 2.471 4.491
F 6.510 4.491 4.491
F 2.471 4.491 4.491
F 4.491 6.510 4.491
F 4.491 4.491 6.510
```

Space-group type   Fm-3m
E_form (uncorrected)   -3096 meV/atom
Spin magnetization   0.00 μB per formula unit
ΔE to the lowest computed polymorph   181 meV per atom
Final energy   -52.25 eV for the cell shown

8.
A plane-wave DFT calculation with PBE-GGA was carried out for an optimized crystal structure of LaZrPa.

```
12
Lattice="5.164 0.000 0.000 0.000 6.528 0.000 0.000 0.000 10.020" Properties=species:S:1:pos:R:3 pbc="T T T"
La 0.000 0.000 1.631
La 0.000 0.000 8.388
La 2.582 3.264 3.378
La 2.582 3.264 6.641
Zr 0.000 3.264 1.492
Zr 0.000 3.264 8.527
Zr 2.582 0.000 3.517
Zr 2.582 0.000 6.502
Pa 0.000 1.356 5.010
Pa 0.000 5.172 5.010
Pa 2.582 1.908 0.000
Pa 2.582 4.620 0.000
```

Space-group type   Immm
Formation energy   0.268 eV per atom
Spin magnetization   0.00 μB per formula unit
ΔE to the lowest computed polymorph   108 meV per atom
Final energy   -88.67 eV for the cell shown

9.
A plane-wave DFT calculation with PBE-GGA was carried out for an optimized crystal structure of YInCl.

```
3
Lattice="4.817 0.000 0.000 -2.408 4.171 0.000 0.000 0.000 3.931" Properties=species:S:1:pos:R:3 pbc="T T T"
Y 0.000 0.000 0.000
In 0.000 2.781 1.966
Cl 2.408 1.390 0.000
```

Space-group type   P-6m2
E_form (uncorrected)   -736 meV/atom
Spin magnetization   0.00 μB per formula unit
ΔE to the lowest computed polymorph   203 meV per atom
Final energy   -13.26 eV for the cell shown

10.
A plane-wave DFT calculation with PBE-GGA was carried out for an optimized crystal structure of YCo2SeI.

```
5
Lattice="4.468 0.000 0.000 0.000 4.468 0.000 0.000 0.000 5.634" Properties=species:S:1:pos:R:3 pbc="T T T"
Y 0.000 0.000 0.000
Co 0.000 2.234 2.817
Co 2.234 0.000 2.817
Se 0.000 0.000 2.817
I 2.234 2.234 0.000
```

Space-group type   P4/mmm
E_form (uncorrected)   43 meV/atom
Spin magnetization   2.42 μB per formula unit
Final energy   -25.49 eV for the cell shown

11.
A plane-wave DFT calculation with PBE-GGA was carried out for an optimized crystal structure of CaHg2Rh.

```
12
Lattice="3.619 0.000 0.000 -1.810 3.134 0.000 0.000 0.000 25.294" Properties=species:S:1:pos:R:3 pbc="T T T"
Ca 0.000 0.000 0.000
Ca 0.000 2.090 16.862
Ca 1.810 1.045 8.431
Hg 0.000 0.000 6.063
Hg 0.000 0.000 19.231
Hg 0.000 2.090 10.800
Hg 0.000 2.090 22.925
Hg 1.810 1.045 2.368
Hg 1.810 1.045 14.494
Rh 0.000 0.000 12.647
Rh 0.000 2.090 4.216
Rh 1.810 1.045 21.078
```

Space-group type   R-3m
Formation energy   0.032 eV per atom
Spin magnetization   0.00 μB per formula unit
Final energy   -29.49 eV for the cell shown

12.
A plane-wave DFT calculation with PBE-GGA was carried out for an optimized crystal structure of PaGeAu2.

```
4
Lattice="4.213 0.000 0.000 0.000 4.213 0.000 0.000 0.000 4.735" Properties=species:S:1:pos:R:3 pbc="T T T"
Pa 0.000 0.000 0.000
Ge 2.107 2.107 0.000
Au 0.000 2.107 2.367
Au 2.107 0.000 2.367
```

Space-group type   P4/mmm
Formation energy   -0.236 eV per atom
Spin magnetization   0.00 μB per formula unit
ΔE to the lowest computed polymorph   72 meV per atom
Final energy   -21.61 eV for the cell shown